## BeCu2N (PBE)

Data for crystalline BeCu2N at its relaxed geometry.

M_tot ... 0.00 μB/atom
Density of states at the Fermi level ... 4.40 states/eV per cell
Symmetry ... I-42d, No. 122
Formation energy (no corrections) ... 3.24 eV per formula unit
ΔE to the lowest computed polymorph ... 15.7 meV/atom
Total DFT energy (no corrections) ... -4.25 eV/atom

Geometry as POSCAR:
```
BeCu2N
1.0
-2.1593 2.1593 5.5130
2.1593 -2.1593 5.5130
2.1593 2.1593 -5.5130
Be Cu N
2 4 2
Direct
0.0000 0.0000 0.0000
0.7500 0.2500 0.5000
0.2192 0.6250 0.0942
0.3750 0.4692 0.5942
0.5308 0.1250 0.9058
0.8750 0.7808 0.4058
0.2500 0.7500 0.5000
0.5000 0.5000 0.0000
```



## BeCuN (PBE)

Data for crystalline BeCuN at its relaxed geometry.

M_tot ... 0.00 μB/atom
Density of states at the Fermi level ... 1.41 states/eV per cell
Symmetry ... P6_3/mmc, No. 194
Formation energy (no corrections) ... -0.35 eV per formula unit
Total DFT energy (no corrections) ... -5.50 eV/atom

Geometry as POSCAR:
```
BeCuN
1.0
2.8525 0.0000 0.0000
-1.4262 2.4703 0.0000
0.0000 0.0000 7.4923
Be Cu N
2 2 2
Direct
0.3333 0.6667 0.2500
0.6667 0.3333 0.7500
0.0000 0.0000 0.0000
0.0000 0.0000 0.5000
0.3333 0.6667 0.7500
0.6667 0.3333 0.2500
```



## BeCuN (PBE)

Data for crystalline BeCuN at its relaxed geometry.

M_tot ... 0.00 μB/atom
Density of states at the Fermi level ... 0.01 states/eV per cell
Symmetry ... Amm2, No. 38
Formation energy (no corrections) ... -1.21 eV per formula unit
Total DFT energy (no corrections) ... -5.79 eV/atom

Geometry as POSCAR:
```
BeCuN
1.0
3.8134 0.0000 0.0000
0.0000 1.4622 2.5306
0.0000 -1.4622 2.5306
Be Cu N
1 1 1
Direct
0.0000 0.0000 0.0000
0.5000 0.6653 0.6653
0.0000 0.6666 0.6666
```



## BeCuN (PBE)

Data for crystalline BeCuN at its relaxed geometry.

M_tot ... 0.00 μB/atom
Density of states at the Fermi level ... 0.70 states/eV per cell
Symmetry ... P-1, No. 2
Formation energy (no corrections) ... 0.30 eV per formula unit
Total DFT energy (no corrections) ... -5.28 eV/atom

Geometry as POSCAR:
```
BeCuN
1.0
2.8270 0.0000 0.0000
-0.7065 4.0965 0.0000
-1.4040 -0.8917 4.9877
Be Cu N
2 2 2
Direct
0.0085 0.2083 0.1542
0.9915 0.7917 0.8458
0.2796 0.3112 0.6215
0.7204 0.6888 0.3785
0.4181 0.1697 0.9803
0.5819 0.8303 0.0197
```



## Be2CuN (PBE)

Data for crystalline Be2CuN at its relaxed geometry.

M_tot ... 0.00 μB/atom
Density of states at the Fermi level ... 0.62 states/eV per cell
Symmetry ... Cm, No. 8
Formation energy (no corrections) ... -1.47 eV per formula unit
Total DFT energy (no corrections) ... -5.34 eV/atom

Geometry as POSCAR:
```
Be2CuN
1.0
4.5574 -1.5154 0.0000
4.5574 1.5154 0.0000
-0.2696 0.0000 5.6434
Be Cu N
4 2 2
Direct
0.0000 0.0000 0.0000
0.2968 0.2968 0.7300
0.3794 0.3794 0.2225
0.5627 0.5627 0.7694
0.7102 0.7102 0.3649
0.9922 0.9922 0.4532
0.1255 0.1255 0.7700
0.4183 0.4183 0.9465
```



## BeCuN (PBE)

Data for crystalline BeCuN at its relaxed geometry.

M_tot ... 0.00 μB/atom
Density of states at the Fermi level ... 0.83 states/eV per cell
Symmetry ... P1, No. 1
Formation energy (no corrections) ... -0.42 eV per formula unit
Total DFT energy (no corrections) ... -5.52 eV/atom

Geometry as POSCAR:
```
BeCuN
1.0
2.6546 0.0000 0.0000
-0.0028 4.5680 0.0000
-1.3181 -1.0389 4.8331
Be Cu N
2 2 2
Direct
0.0000 0.0000 0.0000
0.0220 0.5738 0.0450
0.3011 0.4323 0.5982
0.7407 0.9172 0.4795
0.5348 0.8048 0.0703
0.9071 0.2527 0.8128
```